(1)
Compound: La3Sm2Ru2
Source: Alexandria
Functional: GGA-PBE
Structure: optimized geometry

The structure belongs to space group C2/m (No. 12); the cell edges are 12.410, 3.977 and 9.032 Å and the angles 90.00°, 114.53° and 90.00°. The distinct sites, in fractional coordinates, are La at (0.000, 0.000, 0.000), La at (0.117, 0.000, 0.424), Sm at (0.174, 0.500, 0.813) and Ru at (0.180, 0.500, 0.238).

Its crystal system is monoclinic. The value obtained for the formation energy from the elements is -0.23 eV/atom. As for the total magnetic moment: 0.000 μB per formula unit.

***

(2)
Compound: KCaN2
Source: Alexandria
Functional: GGA-PBE
Structure: optimized geometry

The structure belongs to space group R-3m (No. 166, hexagonal axes); the cell edges are 3.9173, 3.9173 and 21.1883 Å and the angles 90.00°, 90.00° and 120.00°. The distinct sites, in fractional coordinates, are K at (0.0000, 0.0000, 0.0000), Ca at (0.0000, 0.0000, 0.5000) and N at (0.0000, 0.0000, 0.1211).

Its crystal system is trigonal. Its energy above the most stable polymorph in this dataset is 0.0 meV/atom. As for the total magnetic moment: 3.000 μB per formula unit. The calculation puts the energy relative to the elements, uncorrected at 0.744 eV per atom.

***

(3)
Compound: Mn6H3Ru
Source: Alexandria
Functional: GGA-PBE
Structure: optimized geometry

The structure belongs to space group R3 (No. 146, hexagonal axes); the cell edges are 5.1229, 5.1229 and 12.8529 Å and the angles 90.00°, 90.00° and 120.00°. The distinct sites, in fractional coordinates, are Mn at (0.0001, 0.5391, 0.0000), Mn at (0.0265, 0.3474, 0.8227), H at (0.0000, 0.0000, 0.2463), H at (0.0000, 0.0000, 0.5838), H at (0.0000, 0.0000, 0.8580) and Ru at (0.0000, 0.0000, 0.9977).

Its crystal system is trigonal. As for the total magnetic moment: 3.009 μB per formula unit.

***

(4)
Compound: Sr2MgSn
Source: Alexandria
Functional: GGA-PBE
Structure: optimized geometry

The structure belongs to space group R-3m (No. 166, hexagonal axes); the cell edges are 3.8656, 3.8656 and 37.2075 Å and the angles 90.00°, 90.00° and 120.00°. The distinct sites, in fractional coordinates, are Sr at (0.0000, 0.0000, 0.0894), Mg at (0.0000, 0.0000, 0.5000) and Sn at (0.0000, 0.0000, 0.0000).

Its crystal system is trigonal. The value obtained for the formation energy from the elements is 0.17 eV/atom. As for the total magnetic moment: 0.000 μB per formula unit.

***

(5)
Compound: CdCoGe3
Source: Alexandria
Functional: GGA-PBE
Structure: optimized geometry

The structure belongs to space group Pm-3m (No. 221); the cell edges are 4.626, 4.626 and 4.626 Å and the angles 90.00°, 90.00° and 90.00°. The distinct sites, in fractional coordinates, are Cd at (0.000, 0.000, 0.000), Co at (0.500, 0.500, 0.500) and Ge at (0.000, 0.500, 0.500).

Its crystal system is cubic. Its energy above the most stable polymorph in this dataset is 0.0 meV/atom. The value obtained for the formation energy from the elements is 0.19 eV/atom. As for the total magnetic moment: 0.000 μB per formula unit.

***

(6)
Compound: LaInHgGe
Source: Alexandria
Functional: GGA-PBE
Structure: optimized geometry

The structure belongs to space group F-43m (No. 216); the cell edges are 7.408, 7.408 and 7.408 Å and the angles 90.00°, 90.00° and 90.00°. The distinct sites, in fractional coordinates, are La at (0.000, 0.000, 0.000), In at (0.000, 0.000, 0.500), Hg at (0.250, 0.250, 0.750) and Ge at (0.250, 0.250, 0.250).

Its crystal system is cubic. The value obtained for the formation energy from the elements is -0.37 eV/atom. As for the total magnetic moment: 0.000 μB per formula unit.

***

(7)
Compound: CuAs2Ir
Source: Alexandria
Functional: GGA-PBE
Structure: optimized geometry

The structure belongs to space group Immm (No. 71); the cell edges are 2.906, 4.312 and 11.265 Å and the angles 90.00°, 90.00° and 90.00°. The distinct sites, in fractional coordinates, are Cu at (0.000, 0.000, 0.000), As at (0.000, 0.500, 0.183) and Ir at (0.000, 0.000, 0.500).

Its crystal system is orthorhombic. Its energy above the most stable polymorph in this dataset is 58.4 meV/atom. The value obtained for the formation energy from the elements is 0.11 eV/atom. As for the total magnetic moment: 0.000 μB per formula unit.

***

(8)
Compound: CsCeRu2O8
Source: Alexandria
Functional: GGA-PBE
Structure: optimized geometry

The structure belongs to space group P-3 (No. 147); the cell edges are 6.0146, 6.0146 and 8.5756 Å and the angles 90.00°, 90.00° and 120.00°. The distinct sites, in fractional coordinates, are Cs at (0.0000, 0.0000, 0.0000), Ce at (0.0000, 0.0000, 0.5000), Ru at (0.3333, 0.6667, 0.7402), O at (0.1543, 0.3422, 0.6620) and O at (0.3333, 0.6667, 0.9442).

Its crystal system is trigonal. As for the total magnetic moment: 3.015 μB per formula unit. The calculation puts the energy relative to the elements, uncorrected at -1.525 eV per atom.

***

(9)
Compound: LaAgTe2
Source: Alexandria
Functional: GGA-PBE
Structure: optimized geometry

The structure belongs to space group P2/m (No. 10); the cell edges are 4.096, 4.053 and 7.661 Å and the angles 90.00°, 98.75° and 90.00°. The distinct sites, in fractional coordinates, are La at (0.000, 0.000, 0.000), Ag at (0.500, 0.000, 0.500) and Te at (0.447, 0.500, 0.765).

Its crystal system is monoclinic. As for the total magnetic moment: 0.000 μB per formula unit. The calculation puts the energy relative to the elements, uncorrected at -0.839 eV per atom.

***

(10)
Compound: Dy6Ho2In3
Source: Alexandria
Functional: GGA-PBE
Structure: optimized geometry

The structure belongs to space group I4/mmm (No. 139); the cell edges are 4.522, 4.522 and 33.334 Å and the angles 90.00°, 90.00° and 90.00°. The distinct sites, in fractional coordinates, are Dy at (0.000, 0.000, 0.213), Dy at (0.000, 0.500, 0.127), Ho at (0.000, 0.000, 0.045), In at (0.000, 0.000, 0.306) and In at (0.000, 0.000, 0.500).

Its crystal system is tetragonal. The value obtained for the formation energy from the elements is 0.02 eV/atom. As for the total magnetic moment: 0.000 μB per formula unit.

***

(11)
Compound: Ba2Li2Mg
Source: Alexandria
Functional: GGA-PBE
Structure: optimized geometry

The structure belongs to space group P4/mbm (No. 127); the cell edges are 8.423, 8.423 and 5.373 Å and the angles 90.00°, 90.00° and 90.00°. The distinct sites, in fractional coordinates, are Ba at (0.187, 0.313, 0.000), Li at (0.122, 0.622, 0.500) and Mg at (0.000, 0.000, 0.500).

Its crystal system is tetragonal. Its energy above the most stable polymorph in this dataset is 48.0 meV/atom. The value obtained for the formation energy from the elements is 0.05 eV/atom. As for the total magnetic moment: 0.000 μB per formula unit.

***

(12)
Compound: Na4Hf3AgS8
Source: Alexandria
Functional: GGA-PBE
Structure: optimized geometry

The structure belongs to space group R-3m (No. 166, hexagonal axes); the cell edges are 7.5386, 7.5386 and 19.9746 Å and the angles 90.00°, 90.00° and 120.00°. The distinct sites, in fractional coordinates, are Na at (0.0000, 0.0000, 0.0000), Na at (0.0000, 0.5000, 0.0000), Hf at (0.0000, 0.5000, 0.5000), Ag at (0.0000, 0.0000, 0.5000), S at (0.0000, 0.0000, 0.2395) and S at (0.0180, 0.5090, 0.7604).

Its crystal system is trigonal. As for the total magnetic moment: 0.000 μB per formula unit. The calculation puts the energy relative to the elements, uncorrected at -1.306 eV per atom.

***

(13)
Compound: Cs2RhBrCl6
Source: Alexandria
Functional: GGA-PBE
Structure: optimized geometry

The structure belongs to space group I4/mmm (No. 139); the cell edges are 7.494, 7.494 and 11.442 Å and the angles 90.00°, 90.00° and 90.00°. The distinct sites, in fractional coordinates, are Cs at (0.000, 0.500, 0.250), Rh at (0.000, 0.000, 0.000), Br at (0.000, 0.000, 0.500), Cl at (0.000, 0.000, 0.205) and Cl at (0.224, 0.224, 0.000).

Its crystal system is tetragonal. As for the total magnetic moment: 1.549 μB per formula unit. The calculation puts the energy relative to the elements, uncorrected at -0.984 eV per atom.

***

no.,energy (eV per formula unit)
1,-44.39
2,-16.77
3,-72.45
4,-8.27
5,-20.90
6,-14.06
7,-21.82
8,-83.30
9,-17.42
10,-44.74
11,-9.04
12,-91.91
13,-31.65